VASP calculation (PBE with a Hubbard U) on a geometry-optimized Li3Mn3TeO8 structure.

- Size of the total moment: 56.000 μB per cell
- Offset from the most stable computed form: 0.0019 eV per atom

Cell: 10.8325 6.3798 10.4102 Å, 90.00 108.38 90.00°
Closest atoms and distances in Å follow each position.
Space group C2/c (No. 15)
One atom of each set of equivalent atoms:
Li (0.0000, 0.2502, 0.2500) (multiplicity 4)  6 O 2.20-2.23
Li (0.2377, 0.0227, 0.2380) (multiplicity 8)  5 O 2.09-2.25
Mn (0.0000, 0.0000, 0.0000) (multiplicity 4)  4 O 1.93-2.08
Mn (0.0000, 0.5000, 0.0000) (multiplicity 4)  6 O 2.20-2.27
Mn (0.2500, 0.2500, 0.0000) (multiplicity 4)  6 O 2.15-2.29
Te (0.2500, 0.2500, 0.5000) (multiplicity 4)  6 O 1.95-1.98
O (0.1070, 0.2226, 0.1029) (multiplicity 8)  2 Mn 1.93-2.15, 1 Li 2.09
O (0.1317, 0.0321, 0.3924) (multiplicity 8)  1 Te 1.98, 1 Mn 2.08, 1 Li 2.20
O (0.1424, 0.4687, 0.3874) (multiplicity 8)  1 Te 1.95, 1 Li 2.14
O (0.1454, 0.2595, 0.6214) (multiplicity 8)  1 Te 1.95, 1 Li 2.12